The following is a DFT calculation (PBE) of an optimized crystal structure of Ac2SmLu.

a = 5.991 Å, b = 5.991 Å, c = 5.991 Å
α = 60.00°, β = 60.00°, γ = 60.00°
Element x y z (fractional)
Ac1 0.750 0.750 0.750
Lu1 0.000 0.000 0.000
Sm1 0.500 0.500 0.500
Ac2 0.250 0.250 0.250

Calculated density in Mg/m³: 8.51
SG: No. 225
Offset from the most stable computed form in meV/atom: 51.4
Size of the total moment in μB per cell: 0.0
Formation energy from the elements in meV/atom: 101.0

The following is a DFT calculation (PBE) of an optimized crystal structure of Ac4SmLu.

a = 7.132 Å, b = 7.132 Å, c = 7.132 Å
α = 60.00°, β = 60.00°, γ = 60.00°
Element x y z (fractional)
Lu1 0.000 0.000 0.000
Sm1 0.250 0.250 0.250
Ac1 0.626 0.123 0.626
Ac2 0.626 0.626 0.123
Ac3 0.626 0.626 0.626
Ac4 0.123 0.626 0.626

Calculated density in Mg/m³: 7.99
SG: No. 216
Size of the total moment in μB per cell: 0.0
Formation energy from the elements in meV/atom: 387.9

The following is a DFT calculation (PBE) of an optimized crystal structure of AcSmLu4.

a = 6.686 Å, b = 6.686 Å, c = 6.686 Å
α = 60.00°, β = 60.00°, γ = 60.00°
Each line ends with the local moment (μB).
Element x y z (fractional)
Lu1 0.124 0.625 0.625  0.55
Lu2 0.625 0.625 0.625  0.55
Lu3 0.625 0.124 0.625  0.55
Ac1 0.250 0.250 0.250  0.38
Lu4 0.625 0.625 0.124  0.55
Sm1 0.000 0.000 0.000  0.57

Calculated density in Mg/m³: 8.47
SG: No. 216
Size of the total moment in μB per cell: 6.1
Formation energy from the elements in meV/atom: 264.6

The following is a DFT calculation (PBE) of an optimized crystal structure of Ac2SmLu.

a = 3.699 Å, b = 3.699 Å, c = 13.314 Å
α = 82.02°, β = 82.02°, γ = 60.00°
Element x y z (fractional)
Sm1 0.500 0.500 0.500
Ac1 0.912 0.912 0.264
Lu1 0.000 0.000 0.000
Ac2 0.088 0.088 0.736

Calculated density in Mg/m³: 8.31
SG: No. 166
Offset from the most stable computed form in meV/atom: 220.8
Size of the total moment in μB per cell: 0.0
Formation energy from the elements in meV/atom: 270.4

The following is a DFT calculation (PBE) of an optimized crystal structure of AcSm2Lu.

a = 5.245 Å, b = 5.169 Å, c = 5.169 Å
α = 90.00°, β = 90.00°, γ = 90.00°
Element x y z (fractional)
Lu1 0.500 0.500 0.500
Sm1 0.000 0.500 0.000
Ac1 0.500 0.000 0.000
Sm2 0.000 0.000 0.500

Calculated density in Mg/m³: 8.33
SG: No. 123
Offset from the most stable computed form in meV/atom: 0.0
Size of the total moment in μB per cell: 0.0
Formation energy from the elements in meV/atom: 47.4

The following is a DFT calculation (PBE) of an optimized crystal structure of AcSmLuSn.

a = 5.558 Å, b = 5.558 Å, c = 5.558 Å
α = 60.00°, β = 60.00°, γ = 60.00°
Element x y z (fractional)
Sm1 0.500 0.500 0.500
Ac1 0.750 0.750 0.750
Lu1 0.000 0.000 0.000
Sn1 0.250 0.250 0.250

Calculated density in Mg/m³: 9.18
SG: No. 216
Size of the total moment in μB per cell: 0.0
Formation energy from the elements in meV/atom: -142.1

The following is a DFT calculation (PBE) of an optimized crystal structure of AcTbSmLu.

a = 5.831 Å, b = 5.831 Å, c = 5.831 Å
α = 60.00°, β = 60.00°, γ = 60.00°
Element x y z (fractional)
Ac1 0.750 0.750 0.750
Lu1 0.000 0.000 0.000
Sm1 0.250 0.250 0.250
Tb1 0.500 0.500 0.500

Calculated density in Mg/m³: 8.43
SG: No. 216
Size of the total moment in μB per cell: 0.0
Formation energy from the elements in meV/atom: 115.1

The following is a DFT calculation (PBE) of an optimized crystal structure of AcSmLuTh.

a = 5.813 Å, b = 5.813 Å, c = 5.813 Å
α = 60.00°, β = 60.00°, γ = 60.00°
Element x y z (fractional)
Sm1 0.250 0.250 0.250
Th1 0.000 0.000 0.000
Lu1 0.750 0.750 0.750
Ac1 0.500 0.500 0.500

Calculated density in Mg/m³: 9.38
SG: No. 216
Size of the total moment in μB per cell: 0.0
Formation energy from the elements in meV/atom: 153.0

no.,DOS at the Fermi energy (states/eV per cell),VASP energy (eV/cell)
1,7.19,-17.053
2,9.93,-23.347
3,10.11,-25.324
4,7.04,-16.376
5,6.42,-17.878
6,6.55,-17.920
7,6.63,-17.518
8,6.44,-20.156